A plane-wave DFT calculation with PBE was carried out for an optimized crystal structure of RhAu2Cl.

```
RhAu2Cl
1.0
-2.323 2.323 3.307
2.323 -2.323 3.307
2.323 2.323 -3.307
Rh Au Cl
1 2 1
Cartesian
0.000 0.000 0.000
2.323 0.000 1.653
0.000 0.000 3.307
0.000 2.323 1.653
```

Values from the calculation:
Space group: I-4m2 (119)

A plane-wave DFT calculation with PBE was carried out for an optimized crystal structure of RhAu2Cl.

```
RhAu2Cl
1.0
0.000 3.299 3.299
3.299 0.000 3.299
3.299 3.299 0.000
Rh Au Cl
1 2 1
Cartesian
0.000 0.000 0.000
1.650 1.650 1.650
4.949 4.949 4.949
3.299 3.299 3.299
```

Values from the calculation:
Space group: Fm-3m (225)

The following formation energy (no corrections) values (in eV per atom) correspond, in order, to the records above: 0.53 0.60.
The following distance to the lowest polymorph of the same formula values (in meV/atom) correspond, in order, to the records above: 371 439.